Entry from Alexandria: Ba6NaSr2 after structural relaxation (PBE).

Summary:
D(E_F) = 12.81 states/eV/cell
Magnetic moment = 0.00 μB per atom
Calculated formation energy = 48 meV per atom

a b c (Å): 4.3663 4.3663 32.4383
angles (deg): 90.00 90.00 120.00
Closest atoms and distances in Å follow each position.
Positions (direct):
Ba (0.0000, 0.0000, 0.0629)  7 Ba 4.08-4.37, 3 Sr 4.41
Ba (0.0000, 0.0000, 0.2859)  9 Ba 4.37-4.47, 3 Sr 4.41
Ba (0.0000, 0.0000, 0.7141)  9 Ba 4.37-4.47, 3 Sr 4.41
Ba (0.0000, 0.0000, 0.9371)  7 Ba 4.08-4.37, 3 Sr 4.41
Ba (0.3333, 0.6667, 0.3999)  3 Na 4.11, 9 Ba 4.37-4.47
Ba (0.3333, 0.6667, 0.6001)  3 Na 4.11, 9 Ba 4.37-4.47
Na (0.0000, 0.0000, 0.5000)  6 Ba 4.11, 6 Na 4.37
Sr (0.3333, 0.6667, 0.1744)  6 Sr 4.37, 6 Ba 4.41
Sr (0.3333, 0.6667, 0.8256)  6 Sr 4.37, 6 Ba 4.41

=====

Entry from Alexandria: Nd2TmInC after structural relaxation (PBE).

Summary:
D(E_F) = 2.18 states/eV/cell
Magnetic moment = 0.00 μB per atom
Calculated formation energy = -380 meV per atom

a b c (Å): 5.1479 5.1479 4.8470
angles (deg): 90.00 90.00 90.00
Closest atoms and distances in Å follow each position.
Positions (direct):
Nd (0.0000, 0.5000, 0.0000)  2 C 2.57
Nd (0.5000, 0.0000, 0.0000)  2 C 2.57
Tm (0.0000, 0.0000, 0.5000)  2 C 2.42
In (0.5000, 0.5000, 0.5000)  8 Nd 3.54, 4 Tm 3.64
C (0.0000, 0.0000, 0.0000)  2 Tm 2.42, 4 Nd 2.57

=====

Entry from Alexandria: KBiP2Ru after structural relaxation (PBE).

Summary:
D(E_F) = 5.57 states/eV/cell
Magnetic moment = 0.00 μB per atom
Calculated formation energy = 2055 meV per atom

a b c (Å): 5.2157 5.2157 4.6419
angles (deg): 90.00 90.00 90.00
Closest atoms and distances in Å follow each position.
Positions (direct):
K (0.0000, 0.0000, 0.0000)  2 Ru 2.32
Bi (0.5000, 0.5000, 0.5000)  8 P 3.49, 4 Ru 3.69
P (0.0000, 0.5000, 0.0000)  2 K 2.61
P (0.5000, 0.0000, 0.0000)  2 K 2.61
Ru (0.0000, 0.0000, 0.5000)  2 K 2.32

=====

Entry from Alexandria: Ho6HgPt after structural relaxation (PBE).

Summary:
D(E_F) = 11.18 states/eV/cell
Magnetic moment = 0.00 μB per atom
Calculated formation energy = -221 meV per atom

a b c (Å): 6.9418 6.9522 7.2955
angles (deg): 90.22 118.18 119.86
Closest atoms and distances in Å follow each position.
Positions (direct):
Ho (0.0267, 0.0730, 0.2534)  1 Pt 2.74, 1 Hg 2.97
Ho (0.2987, 0.7257, 0.2528)  1 Pt 2.74, 1 Hg 2.97
Ho (0.3171, 0.5442, 0.7471)  1 Pt 2.74, 1 Hg 2.97
Ho (0.6829, 0.4558, 0.2529)  1 Pt 2.74, 1 Hg 2.97
Ho (0.7013, 0.2743, 0.7472)  1 Pt 2.74, 1 Hg 2.97
Ho (0.9733, 0.9270, 0.7466)  1 Pt 2.74, 1 Hg 2.97
Hg (0.5000, 0.0000, 0.0000)  6 Ho 2.97
Pt (0.5000, 0.5000, 0.5000)  6 Ho 2.74

=====

Entry from Alexandria: EuGaPb2 after structural relaxation (PBE).

Summary:
D(E_F) = 2.38 states/eV/cell
Excess energy over the best structure of this formula in the dataset = 0 meV/atom
Magnetic moment = 1.75 μB per atom
Calculated formation energy = -331 meV per atom

a b c (Å): 4.7967 4.7967 4.8110
angles (deg): 90.00 90.00 90.00
Closest atoms and distances in Å follow each position.
Positions (direct):
Eu (0.0000, 0.0000, 0.0000)  4 Ga 3.39, 8 Pb 3.40
Ga (0.5000, 0.5000, 0.0000)  4 Eu 3.39, 8 Pb 3.40
Pb (0.0000, 0.5000, 0.5000)  4 Pb 3.39, 4 Eu 3.40, 4 Ga 3.40
Pb (0.5000, 0.0000, 0.5000)  4 Pb 3.39, 4 Eu 3.40, 4 Ga 3.40

=====

Entry from Alexandria: Zr3TePb4O13 after structural relaxation (PBE).

Summary:
D(E_F) = 0.00 states/eV/cell
Magnetic moment = 0.00 μB per atom
ΔE_f (raw) = -201.5 kJ per mole of atoms

a b c (Å): 7.6954 7.6954 7.6954
angles (deg): 59.89 59.89 59.89
Closest atoms and distances in Å follow each position.
Positions (direct):
Zr (0.0019, 0.4990, 0.4990)  6 O 2.09-2.16
Zr (0.4990, 0.0019, 0.4990)  6 O 2.09-2.16
Zr (0.4990, 0.4990, 0.0019)  6 O 2.09-2.16
Te (0.5004, 0.5004, 0.5004)  6 O 1.94-1.95
Pb (0.0019, 0.0019, 0.0019)  1 O 2.38
Pb (0.4981, 0.9968, 0.9968)  2 O 2.32-2.52
Pb (0.9968, 0.4981, 0.9968)  2 O 2.32-2.52
Pb (0.9968, 0.9968, 0.4981)  2 O 2.32-2.52
O (0.1280, 0.1280, 0.1280)  4 Pb 2.32-2.38
O (0.1735, 0.1735, 0.5677)  2 Zr 2.09
O (0.1735, 0.5677, 0.1735)  2 Zr 2.09
O (0.1998, 0.5652, 0.5652)  1 Te 1.95, 1 Zr 2.16
O (0.4303, 0.8333, 0.8333)  2 Zr 2.13
O (0.4349, 0.4349, 0.8017)  1 Te 1.95, 1 Zr 2.15
O (0.4349, 0.8017, 0.4349)  1 Te 1.95, 1 Zr 2.15
O (0.5652, 0.1998, 0.5652)  1 Te 1.94, 1 Zr 2.16
O (0.5652, 0.5652, 0.1998)  1 Te 1.94, 1 Zr 2.16
O (0.5677, 0.1735, 0.1735)  2 Zr 2.09
O (0.8017, 0.4349, 0.4349)  1 Te 1.95, 1 Zr 2.15
O (0.8333, 0.4303, 0.8333)  2 Zr 2.13
O (0.8333, 0.8333, 0.4303)  2 Zr 2.13

=====

Entry from Alexandria: AcAlPd after structural relaxation (PBE).

Summary:
D(E_F) = 7.12 states/eV/cell
Excess energy over the best structure of this formula in the dataset = 16 meV/atom
Magnetic moment = 0.00 μB per atom
Calculated formation energy = -724 meV per atom

a b c (Å): 7.4656 4.5770 8.4215
angles (deg): 90.00 90.00 90.00
Closest atoms and distances in Å follow each position.
Positions (direct):
Ac (0.0338, 0.2500, 0.1821)  5 Pd 3.09-3.38, 3 Al 3.28-3.41
Ac (0.4662, 0.7500, 0.6821)  5 Pd 3.09-3.38, 3 Al 3.28-3.41
Ac (0.5338, 0.2500, 0.3179)  5 Pd 3.09-3.38, 3 Al 3.28-3.41
Ac (0.9662, 0.7500, 0.8179)  5 Pd 3.09-3.38, 3 Al 3.28-3.41
Al (0.1393, 0.2500, 0.5605)  3 Pd 2.65-2.74
Al (0.3607, 0.7500, 0.0605)  3 Pd 2.65-2.74
Al (0.6393, 0.2500, 0.9395)  3 Pd 2.65-2.74
Al (0.8607, 0.7500, 0.4395)  3 Pd 2.65-2.74
Pd (0.2124, 0.7500, 0.3927)  3 Al 2.65-2.74
Pd (0.2876, 0.2500, 0.8927)  3 Al 2.65-2.74
Pd (0.7124, 0.7500, 0.1073)  3 Al 2.65-2.74
Pd (0.7876, 0.2500, 0.6073)  3 Al 2.65-2.74

=====

Entry from Alexandria: Er3US4 after structural relaxation (PBE).

Summary:
D(E_F) = 6.61 states/eV/cell
Magnetic moment = 0.32 μB per atom
ΔE_f (raw) = -175.0 kJ per mole of atoms

a b c (Å): 12.9288 12.9288 12.9288
angles (deg): 17.11 17.11 17.11
Closest atoms and distances in Å follow each position.
Positions (direct):
Er (0.0000, 0.0000, 0.0000)  6 S 2.73
Er (0.2491, 0.2491, 0.2491)  6 S 2.69-2.76
Er (0.7509, 0.7509, 0.7509)  6 S 2.69-2.76
U (0.5000, 0.5000, 0.5000)  6 S 2.75
S (0.1241, 0.1241, 0.1241)  3 Er 2.69, 3 U 2.75
S (0.3748, 0.3748, 0.3748)  6 Er 2.73-2.76
S (0.6252, 0.6252, 0.6252)  6 Er 2.73-2.76
S (0.8759, 0.8759, 0.8759)  3 Er 2.69, 3 U 2.75

=====

Entry from Alexandria: PmAg2O3 after structural relaxation (PBE).

Summary:
D(E_F) = 6.62 states/eV/cell
Magnetic moment = 0.16 μB per atom
ΔE_f (raw) = -89.8 kJ per mole of atoms

a b c (Å): 6.6076 6.6076 5.1353
angles (deg): 90.00 90.00 122.13
Closest atoms and distances in Å follow each position.
Positions (direct):
Pm (0.2448, 0.7552, 0.7500)  2 O 2.17
Pm (0.7552, 0.2448, 0.2500)  2 O 2.17
Ag (0.2496, 0.2496, 0.0000)  2 O 2.15
Ag (0.2496, 0.2496, 0.5000)  2 O 2.15
Ag (0.7504, 0.7504, 0.0000)  2 O 2.15
Ag (0.7504, 0.7504, 0.5000)  2 O 2.15
O (0.0714, 0.3689, 0.7500)  2 Ag 2.15, 1 Pm 2.17
O (0.3689, 0.0714, 0.2500)  2 Ag 2.15, 1 Pm 2.17
O (0.3685, 0.6315, 0.2500)  4 Ag 2.55
O (0.6315, 0.3685, 0.7500)  4 Ag 2.55
O (0.6311, 0.9286, 0.7500)  2 Ag 2.15, 1 Pm 2.17
O (0.9286, 0.6311, 0.2500)  2 Ag 2.15, 1 Pm 2.17

=====

Entry from Alexandria: MgPt4Cl after structural relaxation (PBE).

Summary:
D(E_F) = 9.42 states/eV/cell
Magnetic moment = 0.00 μB per atom
ΔE_f (raw) = -1.8 kJ per mole of atoms

a b c (Å): 5.3497 5.3497 5.3497
angles (deg): 60.00 60.00 60.00
Closest atoms and distances in Å follow each position.
Positions (direct):
Mg (0.0000, 0.0000, 0.0000)  12 Pt 3.14, 4 Cl 3.28
Pt (0.1242, 0.6253, 0.6253)  6 Pt 2.67-2.68
Pt (0.6253, 0.1242, 0.6253)  6 Pt 2.67-2.68
Pt (0.6253, 0.6253, 0.1242)  6 Pt 2.67-2.68
Pt (0.6253, 0.6253, 0.6253)  6 Pt 2.67-2.68
Cl (0.2500, 0.2500, 0.2500)  12 Pt 3.14, 4 Mg 3.28

=====

Entry from Alexandria: Ce4Hg2Ir after structural relaxation (PBE).

Summary:
D(E_F) = 22.80 states/eV/cell
Magnetic moment = 0.58 μB per atom
Calculated formation energy = -220 meV per atom

a b c (Å): 6.6081 3.8679 8.5484
angles (deg): 90.00 105.93 90.00
Closest atoms and distances in Å follow each position.
Positions (direct):
Ce (0.1574, 0.0000, 0.3498)  1 Ir 2.88
Ce (0.2791, 0.5000, 0.9781)  2 Ir 2.71, 1 Ce 2.84
Ce (0.7209, 0.5000, 0.0219)  2 Ir 2.71, 1 Ce 2.84
Ce (0.8426, 0.0000, 0.6502)  1 Ir 2.88
Hg (0.3981, 0.5000, 0.6487)  4 Ce 3.12-3.32, 1 Hg 3.19
Hg (0.6019, 0.5000, 0.3513)  4 Ce 3.12-3.32, 1 Hg 3.19
Ir (0.0000, 0.0000, 0.0000)  6 Ce 2.71-2.88

=====

Entry from Alexandria: Ta3TiSe after structural relaxation (PBE).

Summary:
D(E_F) = 5.13 states/eV/cell
Excess energy over the best structure of this formula in the dataset = 0 meV/atom
Magnetic moment = 0.00 μB per atom
ΔE_f (raw) = 78.5 kJ per mole of atoms

a b c (Å): 4.7060 4.7060 4.7060
angles (deg): 90.00 90.00 90.00
Closest atoms and distances in Å follow each position.
Positions (direct):
Ta (0.0000, 0.0000, 0.5000)  2 Se 2.35
Ta (0.0000, 0.5000, 0.0000)  2 Se 2.35
Ta (0.5000, 0.0000, 0.0000)  2 Se 2.35
Ti (0.5000, 0.5000, 0.5000)  12 Ta 3.33
Se (0.0000, 0.0000, 0.0000)  6 Ta 2.35